Record 1
# Ba5Ca2Ta3O15 (PBEsol, relaxed)
# * energy relative to the elements, uncorrected: -286.3 kJ/mol of atoms
data_Ba5Ca2Ta3O15
_chemical_formula_sum 'Ba20 Ca8 Ta12 O60'
_symmetry_space_group_name_H-M 'I 4/m'
_symmetry_Int_Tables_number 87
_symmetry_space_group_name_Hall '-I 4'
_cell_length_a 13.3018
_cell_length_b 13.3018
_cell_length_c 8.4027
_cell_angle_alpha 90.00
_cell_angle_beta 90.00
_cell_angle_gamma 90.00
loop_
_atom_site_label
_atom_site_fract_x
_atom_site_fract_y
_atom_site_fract_z
Ba1 0.0000 0.5000 0.2500
Ba2 0.1020 0.8002 0.2473
Ca1 0.0990 0.2983 0.5000
Ta1 0.0000 0.0000 0.0000
Ta2 0.0000 0.0000 0.5000
Ta3 0.0974 0.3022 0.0000
O1 0.0000 0.0000 0.2467
O2 0.0232 0.1449 0.5000
O3 0.0486 0.6741 0.0000
O4 0.0569 0.1385 0.0000
O5 0.0568 0.6263 0.5000
O6 0.0955 0.2901 0.2328
O7 0.2386 0.7403 0.5000

***

Record 2
# Sr3SnW (PBEsol, relaxed)
# * energy relative to the elements: 1.16 eV/atom
data_Sr3SnW
_chemical_formula_sum 'Sr3 Sn1 W1'
_symmetry_space_group_name_H-M 'P m -3 m'
_symmetry_Int_Tables_number 221
_symmetry_space_group_name_Hall '-P 4 2 3'
_cell_length_a 6.1649
_cell_length_b 6.1649
_cell_length_c 6.1649
_cell_angle_alpha 90.00
_cell_angle_beta 90.00
_cell_angle_gamma 90.00
loop_
_atom_site_label
_atom_site_fract_x
_atom_site_fract_y
_atom_site_fract_z
Sr1 0.0000 0.0000 0.5000
Sn1 0.0000 0.0000 0.0000
W1 0.5000 0.5000 0.5000

***

Record 3
# Sr4GaN3O (PBEsol, relaxed)
# * energy relative to the elements, uncorrected: -110.2 kJ/mol of atoms
data_Sr4GaN3O
_chemical_formula_sum 'Sr32 Ga8 N24 O8'
_symmetry_space_group_name_H-M 'P b c a'
_symmetry_Int_Tables_number 61
_cell_length_a 7.2630
_cell_length_b 23.5446
_cell_length_c 7.3302
_cell_angle_alpha 90.00
_cell_angle_beta 90.00
_cell_angle_gamma 90.00
loop_
_symmetry_equiv_pos_as_xyz
'x,y,z'
'-x,-y,-z'
'-x+1/2,-y,z+1/2'
'x+1/2,y,-z+1/2'
'x+1/2,-y+1/2,-z'
'-x+1/2,y+1/2,z'
'-x,y+1/2,-z+1/2'
'x,-y+1/2,z+1/2'
loop_
_atom_site_label
_atom_site_fract_x
_atom_site_fract_y
_atom_site_fract_z
Sr1 0.0340 0.2415 0.2414
Sr2 0.0394 0.5635 0.1415
Sr3 0.1182 0.0572 0.8505
Sr4 0.2134 0.6447 0.5189
Ga1 0.2216 0.6711 0.9897
N1 0.0656 0.6250 0.8459
N2 0.1251 0.1279 0.1491
N3 0.2185 0.7493 0.4984
O1 0.2467 0.0258 0.5307

***

Record 4
# Dy3B7W (PBEsol, relaxed)
# * energy relative to the elements: -0.66 eV/atom
data_Dy3B7W
_chemical_formula_sum 'Dy12 B28 W4'
_symmetry_space_group_name_H-M 'C m c m'
_symmetry_Int_Tables_number 63
_symmetry_space_group_name_Hall '-C 2c 2'
_cell_length_a 3.4310
_cell_length_b 15.8654
_cell_length_c 9.4211
_cell_angle_alpha 90.00
_cell_angle_beta 90.00
_cell_angle_gamma 90.00
loop_
_atom_site_label
_atom_site_fract_x
_atom_site_fract_y
_atom_site_fract_z
Dy1 0.0000 0.1068 0.0602
Dy2 0.0000 0.2443 0.7500
B1 0.0000 0.2724 0.0324
B2 0.0000 0.3649 0.1473
B3 0.0000 0.4555 0.7500
B4 0.0000 0.4802 0.0917
W1 0.0000 0.0535 0.7500

***

Record 5
# Sr3MgCd (PBEsol, relaxed)
# * energy relative to the elements: 0.36 eV/atom
data_Sr3MgCd
_chemical_formula_sum 'Sr3 Mg1 Cd1'
_symmetry_space_group_name_H-M 'P m -3 m'
_symmetry_Int_Tables_number 221
_symmetry_space_group_name_Hall '-P 4 2 3'
_cell_length_a 6.3052
_cell_length_b 6.3052
_cell_length_c 6.3052
_cell_angle_alpha 90.00
_cell_angle_beta 90.00
_cell_angle_gamma 90.00
loop_
_atom_site_label
_atom_site_fract_x
_atom_site_fract_y
_atom_site_fract_z
Sr1 0.0000 0.0000 0.5000
Mg1 0.0000 0.0000 0.0000
Cd1 0.5000 0.5000 0.5000

***

Record 6
# BeCdTc (PBEsol, relaxed)
# * energy relative to the elements: 0.36 eV/atom
data_BeCdTc
_chemical_formula_sum 'Be4 Cd4 Tc4'
_symmetry_space_group_name_H-M 'F m m 2'
_symmetry_Int_Tables_number 42
_symmetry_space_group_name_Hall 'F 2 -2'
_cell_length_a 3.1838
_cell_length_b 4.2790
_cell_length_c 12.4047
_cell_angle_alpha 90.00
_cell_angle_beta 90.00
_cell_angle_gamma 90.00
loop_
_atom_site_label
_atom_site_fract_x
_atom_site_fract_y
_atom_site_fract_z
Be1 0.0000 0.0000 0.0000
Cd1 0.0000 0.0000 0.6711
Tc1 0.0000 0.0000 0.3642

***

| no. | E_tot (eV/atom) | density (g/cm3) |
| --- | --- | --- |
| 1 | -8.2234 | 6.92 |
| 2 | -3.5583 | 4.01 |
| 3 | -5.7562 | 5.07 |
| 4 | -7.7370 | 9.68 |
| 5 | -1.3253 | 2.65 |
| 6 | -5.1306 | 8.62 |